[1]
A plane-wave DFT calculation with PBE was carried out for a relaxed structure of ThSnB.

energy above the lowest structure with this stoichiometry: 0.000 eV/atom
SG: No. 216

Lattice parameters (Å, degrees): 4.539 4.539 4.539 60.00 60.00 60.00
Atoms (fractional coordinates):
Th (0.000, 0.000, 0.000)
Sn (0.500, 0.500, 0.500)
B (0.750, 0.750, 0.750)

***

[2]
A plane-wave DFT calculation with PBE was carried out for a relaxed structure of Zr4TlSnB2.

SG: No. 187

Lattice parameters (Å, degrees): 3.473 3.473 15.139 90.00 90.00 120.00
Atoms (fractional coordinates):
Zr (0.000, 0.000, 0.161)
Zr (0.000, 0.000, 0.839)
Zr (0.667, 0.333, 0.332)
Zr (0.667, 0.333, 0.668)
Tl (0.000, 0.000, 0.500)
Sn (0.667, 0.333, 0.000)
B (0.333, 0.667, 0.247)
B (0.333, 0.667, 0.753)

***

[3]
A plane-wave DFT calculation with PBE was carried out for a relaxed structure of TmSnB.

energy above the lowest structure with this stoichiometry: 0.000 eV/atom
SG: No. 216

Lattice parameters (Å, degrees): 4.338 4.338 4.338 60.00 60.00 60.00
Atoms (fractional coordinates):
Tm (0.000, 0.000, 0.000)
Sn (0.500, 0.500, 0.500)
B (0.750, 0.750, 0.750)

***

Here are the calculated calculated total energy numbers, same order: -17.5 -57.9 -14.6 (eV for the cell shown).